Material: PrHo5Zn6
Method: DFT, PBE
State: optimized geometry

Space group = Cmmm (65)
Calculated total energy = -3.273 eV per atom
Magnetization = 0.0 μB per formula unit
Energy of formation = -4.0 eV/f.u.

Cell: 5.0443 7.1810 8.0010 Å, 90.00 71.63 90.00°
Atoms (fractional coordinates):
Ho1 0.6686 0.0000 0.6629
Ho2 0.6646 0.5000 0.6708
Ho3 0.0000 0.5000 0.0000
Ho4 0.3314 0.0000 0.3371
Ho5 0.3354 0.5000 0.3292
Zn1 0.5000 0.2587 0.0000
Zn2 0.1708 0.7425 0.6584
Zn3 0.8292 0.2575 0.3416
Zn4 0.5000 0.7413 0.0000
Zn5 0.8292 0.7425 0.3416
Zn6 0.1708 0.2575 0.6584
Pr1 0.0000 0.0000 0.0000

***

Material: Pr4HoZn
Method: DFT, PBE
State: optimized geometry

ΔE to the lowest computed polymorph = 93 meV per atom
Space group = C2/c (15)
Calculated total energy = -4.158 eV per atom
Magnetization = 0.0 μB per formula unit
Energy of formation = 0.0 eV/f.u.

Cell: 6.4235 9.3207 8.3054 Å, 114.60 100.17 111.99°
Atoms (fractional coordinates):
Pr1 0.7646 0.7129 0.6341
Pr2 0.0449 0.1700 0.7801
Pr3 0.9551 0.8300 0.2199
Pr4 0.2352 0.6101 0.7801
Pr5 0.2354 0.2871 0.3659
Pr6 0.7648 0.3899 0.2199
Pr7 0.3695 0.9212 0.6341
Pr8 0.6305 0.0788 0.3659
Ho1 0.3436 0.5936 0.1872
Ho2 0.6564 0.4064 0.8128
Zn1 0.2507 0.0007 0.0015
Zn2 0.7493 0.9993 0.9985

***

Material: PrHo6Zn
Method: DFT, PBE
State: optimized geometry

Space group = R-3 (148)
Calculated total energy = -4.143 eV per atom
Magnetization = 0.0 μB per formula unit
Energy of formation = 0.4 eV/f.u.

Cell: 9.3020 8.3848 6.2609 Å, 47.97 42.05 56.31°
Atoms (fractional coordinates):
Ho1 0.2345 0.0458 0.2978
Ho2 0.4219 0.7655 0.8582
Ho3 0.7655 0.9542 0.7022
Ho4 0.0459 0.4223 0.7662
Ho5 0.9541 0.5777 0.2338
Ho6 0.5781 0.2345 0.1418
Pr1 0.5000 0.5000 0.5000
Zn1 0.0000 0.0000 0.0000

***

Material: Pr2Ho3Zn3
Method: DFT, PBE
State: optimized geometry

Space group = Immm (71)
Calculated total energy = -3.612 eV per atom
Magnetization = 0.0 μB per formula unit
Energy of formation = -1.8 eV/f.u.

Cell: 3.6645 5.1407 11.4028 Å, 103.03 99.25 90.00°
Atoms (fractional coordinates):
Ho1 0.6135 0.6135 0.2270
Ho2 0.3865 0.3865 0.7730
Ho3 0.5000 0.0000 0.0000
Pr1 0.2736 0.7736 0.5473
Pr2 0.7264 0.2264 0.4527
Zn1 0.1094 0.1094 0.2187
Zn2 0.8906 0.8906 0.7813
Zn3 0.0000 0.5000 0.0000

***

Material: PrHo3Zn
Method: DFT, PBE
State: optimized geometry

Space group = C2/m (12)
Calculated total energy = -3.912 eV per atom
Magnetization = 0.0 μB per formula unit
Energy of formation = 0.2 eV/f.u.

Cell: 7.7418 7.7418 7.1984 Å, 99.08 117.72 114.88°
Atoms (fractional coordinates):
Ho1 0.1726 0.8855 0.6536
Ho2 0.2319 0.5189 0.3464
Ho3 0.8274 0.1145 0.3464
Ho4 0.6898 0.4207 0.1105
Ho5 0.3102 0.5793 0.8895
Ho6 0.7681 0.4811 0.6536
Zn1 0.3370 0.2744 0.6113
Zn2 0.6630 0.7256 0.3887
Pr1 0.7473 0.0507 0.7980
Pr2 0.2527 0.9493 0.2020

***

Material: Pr2Ho2Zn
Method: DFT, PBE
State: optimized geometry

Space group = I4/mmm (139)
Calculated total energy = -4.125 eV per atom
Magnetization = 0.0 μB per formula unit
Energy of formation = -0.6 eV/f.u.

Cell: 3.6021 3.6021 11.7116 Å, 98.85 98.85 90.00°
Atoms (fractional coordinates):
Ho1 0.5756 0.5756 0.1512
Ho2 0.4244 0.4244 0.8488
Pr1 0.8093 0.8093 0.6186
Pr2 0.1907 0.1907 0.3814
Zn1 0.0000 0.0000 0.0000

***

Material: PrHoZn
Method: DFT, PBE
State: optimized geometry

ΔE to the lowest computed polymorph = 230 meV per atom
Space group = Pnma (62)
Calculated total energy = -3.513 eV per atom
Magnetization = 0.0 μB per formula unit
Energy of formation = 0.1 eV/f.u.

Cell: 5.0191 7.1076 10.1241 Å, 90.00 90.00 90.00°
Atoms (fractional coordinates):
Zn1 0.2500 0.2440 0.6242
Zn2 0.7500 0.7440 0.8758
Zn3 0.7500 0.7560 0.3758
Zn4 0.2500 0.2560 0.1242
Ho1 0.7500 0.5058 0.1182
Ho2 0.7500 0.9942 0.6182
Ho3 0.2500 0.4942 0.8818
Ho4 0.2500 0.0058 0.3818
Pr1 0.7500 0.4952 0.6340
Pr2 0.2500 0.9952 0.8660
Pr3 0.2500 0.5048 0.3660
Pr4 0.7500 0.0048 0.1340

***

Material: PrHo3Zn2
Method: DFT, PBE
State: optimized geometry

Space group = P4/mmm (123)
Calculated total energy = -3.741 eV per atom
Magnetization = 0.0 μB per formula unit
Energy of formation = -1.4 eV/f.u.

Cell: 3.5648 3.5648 12.3308 Å, 90.00 90.00 90.00°
Atoms (fractional coordinates):
Zn1 0.5000 0.5000 0.8581
Zn2 0.5000 0.5000 0.1419
Ho1 0.0000 0.0000 0.0000
Ho2 0.0000 0.0000 0.7150
Ho3 0.0000 0.0000 0.2850
Pr1 0.5000 0.5000 0.5000

***

Material: Pr2HoZn4
Method: DFT, PBE
State: optimized geometry

Space group = I4/mmm (139)
Calculated total energy = -2.897 eV per atom
Magnetization = 0.0 μB per formula unit
Energy of formation = -1.0 eV/f.u.

Cell: 5.2388 5.2388 7.4203 Å, 110.67 110.67 90.00°
Atoms (fractional coordinates):
Zn1 0.3966 0.8966 0.7933
Zn2 0.1034 0.6034 0.2067
Zn3 0.6034 0.1034 0.2067
Zn4 0.8966 0.3966 0.7933
Pr1 0.2792 0.2792 0.5583
Pr2 0.7208 0.7208 0.4417
Ho1 0.0000 0.0000 0.0000

***

Material: PrHoZn
Method: DFT, PBE
State: optimized geometry

ΔE to the lowest computed polymorph = 229 meV per atom
Space group = F222 (22)
Calculated total energy = -3.514 eV per atom
Magnetization = 0.0 μB per formula unit
Energy of formation = 0.1 eV/f.u.

Cell: 5.0316 5.0326 5.0328 Å, 89.92 120.06 120.06°
Atoms (fractional coordinates):
Ho1 0.9444 0.9722 0.9165
Zn1 0.4445 0.2222 0.6668
Pr1 0.9444 0.4722 0.4166

***

Material: Pr2HoZn
Method: DFT, PBE
State: optimized geometry

ΔE to the lowest computed polymorph = 178 meV per atom
Space group = Fm-3m (225)
Calculated total energy = -3.828 eV per atom
Magnetization = 0.0 μB per formula unit
Energy of formation = 0.1 eV/f.u.

Cell: 5.4786 5.4786 5.4786 Å, 60.00 60.00 60.00°
Atoms (fractional coordinates):
Pr1 0.2500 0.2500 0.2500
Pr2 0.7500 0.7500 0.7500
Zn1 0.5000 0.5000 0.5000
Ho1 0.0000 0.0000 0.0000

***

Material: Pr4Ho5Zn
Method: DFT, PBE
State: optimized geometry

Space group = P4/mmm (123)
Calculated total energy = -4.381 eV per atom
Magnetization = 0.0 μB per formula unit
Energy of formation = -0.5 eV/f.u.

Cell: 3.6073 3.6073 24.0701 Å, 90.00 90.00 90.00°
Atoms (fractional coordinates):
Ho1 0.5000 0.5000 0.0719
Ho2 0.5000 0.5000 0.2867
Ho3 0.5000 0.5000 0.5000
Ho4 0.5000 0.5000 0.7133
Ho5 0.5000 0.5000 0.9281
Pr1 0.0000 0.0000 0.6061
Pr2 0.0000 0.0000 0.8194
Pr3 0.0000 0.0000 0.3939
Pr4 0.0000 0.0000 0.1806
Zn1 0.0000 0.0000 0.0000